No. 1
Tm2LuTh: relaxed, GGA-PBE.

Computed properties:
* energy above the lowest structure with this stoichiometry: 0 meV per atom
* SG: No. 123
* E_form: 0.03 eV per atom
* DFT total energy: -20.77 eV/cell

Cell lengths 3.5067, 3.5067, 9.9778 Å; angles 90.00, 90.00, 90.00 degrees
Fractional positions:
Tm (0.0000, 0.0000, 0.2513)
Th (0.5000, 0.5000, 0.5000)
Tm (0.0000, 0.0000, 0.7487)
Lu (0.5000, 0.5000, 0.0000)

=====

No. 2
Hf3GaBr: relaxed, GGA-PBE.

Computed properties:
* energy above the lowest structure with this stoichiometry: 0 meV per atom
* SG: No. 221
* DFT total energy: -31.08 eV/cell
* E_form (uncorrected): 0.697 eV per atom

Cell lengths 4.8985, 4.8985, 4.8985 Å; angles 90.00, 90.00, 90.00 degrees
Fractional positions:
Br (0.0000, 0.0000, 0.0000)
Hf (0.0000, 0.5000, 0.0000)
Hf (0.5000, 0.0000, 0.0000)
Hf (0.0000, 0.0000, 0.5000)
Ga (0.5000, 0.5000, 0.5000)

=====

No. 3
LaPa2Al: relaxed, GGA-PBE.

Computed properties:
* energy above the lowest structure with this stoichiometry: 96 meV per atom
* SG: No. 166
* E_form: 0.18 eV per atom
* DFT total energy: -26.96 eV/cell

Cell lengths 3.1504, 3.1504, 11.7412 Å; angles 82.29, 82.29, 60.00 degrees
Fractional positions:
La (0.0000, 0.0000, 0.0000)
Pa (0.0923, 0.0923, 0.7230)
Pa (0.9077, 0.9077, 0.2770)
Al (0.5000, 0.5000, 0.5000)

=====

No. 4
YMg2Cr: relaxed, GGA-PBE.

Computed properties:
* SG: No. 123
* E_form: 0.23 eV per atom
* DFT total energy: -18.37 eV/cell

Cell lengths 4.9151, 4.3375, 4.3375 Å; angles 90.00, 90.00, 90.00 degrees
Last column: magnetic moment on the atom in μB.
Fractional positions:
Mg (0.0000, 0.0000, 0.0000)  -0.02
Cr (0.5000, 0.0000, 0.5000)  3.58
Y (0.5000, 0.5000, 0.0000)  -0.05
Mg (0.0000, 0.5000, 0.5000)  -0.02

=====

Among the records above, which one has the highest DFT total energy?
YMg2Cr

=====

What is the formula in the second record?
Hf3GaBr

=====

Which value of DFT total energy does entry 2 give?
-31.08 eV/cell